Entry from Alexandria via LeMat-Bulk: a relaxed structure of PaNb2MoC4 (PBE).

Cell and atoms, written as POSCAR:
```
PaNb2MoC4
1.0
1.634 -5.724 0.000
1.634 5.724 0.000
0.000 0.000 11.191
Pa Nb Mo C
2 4 2 8
Direct
0.118 0.882 0.750 Pa
0.882 0.118 0.250 Pa
0.372 0.628 0.536 Nb
0.372 0.628 0.964 Nb
0.628 0.372 0.036 Nb
0.628 0.372 0.464 Nb
0.147 0.853 0.250 Mo
0.853 0.147 0.750 Mo
0.000 0.000 0.000 C
0.000 0.000 0.500 C
0.264 0.736 0.116 C
0.264 0.736 0.384 C
0.460 0.540 0.750 C
0.540 0.460 0.250 C
0.736 0.264 0.616 C
0.736 0.264 0.884 C
```

Calculated values
Symmetry: Cmcm
Theoretical density: 8.90 g/cm3
ΔE_f: -224.5 meV per atom